Material: K5ClF4
Method: DFT, PBE
State: optimized geometry

a = 3.951 Å, b = 3.951 Å, c = 16.418 Å
α = 83.09°, β = 83.09°, γ = 60.00°
Atoms (fractional coordinates):
K1 0.791 0.791 0.626
K2 0.209 0.209 0.374
K3 0.396 0.396 0.813
K4 0.604 0.604 0.187
K5 0.000 0.000 0.000
F1 0.302 0.302 0.093
F2 0.698 0.698 0.907
F3 0.907 0.907 0.280
F4 0.093 0.093 0.720
Cl1 0.500 0.500 0.500

Computed properties:
Space-group type: R-3m (166)
Spin magnetization, μB/f.u.: 0.0
Energy relative to the lowest polymorph listed for this composition, meV per atom: 0
Calculated total energy, eV per formula unit: -40.339
ΔE_f (raw), meV/atom: -2552